9
Lattice="5.622 -0.275 -0.483 -0.503 5.240 -0.106 -0.295 0.078 5.257" Properties=species:S:1:pos:R:3 comment="PBE-GGA Np6OsRu2, relaxed" final_energy_ev_per_atom=-11.911 e_form_ev_per_atom=0.025 pbc="T T T"
Np 4.441 0.711 2.183
Os 0.000 0.000 0.000
Np 2.482 0.779 4.145
Ru 1.604 1.685 1.559
Np 4.374 2.379 0.450
Np 0.383 4.332 2.485
Np 0.450 2.665 4.218
Ru 3.219 3.359 3.108
Np 2.342 4.265 0.523